No. 1
Density functional theory data (PBE-GGA) for Gd3TaOs after structural relaxation.

## Properties
Energy of formation, eV/f.u.: 7.25

Geometry as CIF:
```
data_Gd3TaOs
_chemical_formula_sum 'Gd3 Ta1 Os1'
_cell_length_a 5.234
_cell_length_b 5.234
_cell_length_c 5.234
_cell_angle_alpha 90.00
_cell_angle_beta 90.00
_cell_angle_gamma 90.00
_symmetry_space_group_name_H-M 'P m -3 m'
_symmetry_Int_Tables_number 221
_symmetry_space_group_name_Hall '-P 4 2 3'
loop_
_atom_site_label
_atom_site_fract_x
_atom_site_fract_y
_atom_site_fract_z
Gd1 0.000 0.000 0.500
Ta1 0.000 0.000 0.000
Os1 0.500 0.500 0.500
```

---

No. 2
Density functional theory data (PBE-GGA) for SmSi2NiIr after structural relaxation.

Geometry as CIF:
```
data_SmSi2NiIr
_chemical_formula_sum 'Sm2 Si4 Ni2 Ir2'
_cell_length_a 4.034
_cell_length_b 4.034
_cell_length_c 10.071
_cell_angle_alpha 90.00
_cell_angle_beta 90.00
_cell_angle_gamma 90.00
_symmetry_space_group_name_H-M 'I -4 m 2'
_symmetry_Int_Tables_number 119
_symmetry_space_group_name_Hall 'I -4 -2'
loop_
_atom_site_label
_atom_site_fract_x
_atom_site_fract_y
_atom_site_fract_z
Sm1 0.000 0.000 0.000
Si1 0.000 0.000 0.377
Ni1 0.000 0.500 0.750
Ir1 0.000 0.500 0.250
```

---

No. 3
Density functional theory data (PBE-GGA) for DyEr2Zn3Cu2Ni after structural relaxation.

## Properties
Energy of formation, eV/f.u.: -3.36

Geometry as CIF:
```
data_DyEr2Zn3Cu2Ni
_chemical_formula_sum 'Dy2 Er4 Zn6 Cu4 Ni2'
_cell_length_a 3.863
_cell_length_b 12.114
_cell_length_c 6.998
_cell_angle_alpha 90.00
_cell_angle_beta 90.00
_cell_angle_gamma 90.00
_symmetry_space_group_name_H-M 'A m m 2'
_symmetry_Int_Tables_number 38
_symmetry_space_group_name_Hall 'A 2 -2'
loop_
_atom_site_label
_atom_site_fract_x
_atom_site_fract_y
_atom_site_fract_z
Dy1 0.000 0.000 0.000
Er1 0.000 0.202 0.608
Zn1 0.500 0.000 0.645
Zn2 0.500 0.120 0.287
Cu1 0.500 0.168 0.905
Ni1 0.000 0.000 0.407
```

---

Final energy for every record listed, in sequence, given in Ry per atom: -0.43794, -0.50825, -0.27675.
Calculated volume for every record listed, in sequence, given in Å³ per atom: 28.68, 16.39, 18.20.